Material: BeTc3As
Method: DFT, SCAN
State: PBEsol geometry

Calculated values
* energy relative to the elements: 127.08 kJ per mole of atoms
* space group: No. 221
* density: 7.151 Mg/m³
* volume: 88 Å³ per cell

Unit cell a=4.4440 b=4.4440 c=4.4440 alpha=90.00 beta=90.00 gamma=90.00
Fractional positions:
Tc: 0.0000 0.0000 0.5000
Tc: 0.5000 0.0000 0.0000
Tc: 0.0000 0.5000 0.0000
Be: 0.5000 0.5000 0.5000
As: 0.0000 0.0000 0.0000


Material: BeTcAs2
Method: DFT, SCAN
State: PBEsol geometry

Calculated values
* energy relative to the elements: 7.42 kJ per mole of atoms
* space group: No. 166
* density: 7.493 Mg/m³
* volume: 57 Å³ per cell

Unit cell a=3.0948 b=3.0948 c=7.0915 alpha=77.40 beta=77.40 gamma=60.00
Fractional positions:
As: 0.7541 0.7541 0.7378
As: 0.2459 0.2459 0.2622
Be: 0.5000 0.5000 0.5000
Tc: 0.0000 0.0000 0.0000


Material: Be2TeAs
Method: DFT, SCAN
State: PBEsol geometry

Calculated values
* space group: No. 99
* density: 4.959 Mg/m³
* volume: 74 Å³ per cell
* E_form (uncorrected): -23 kJ/mol of formula units

Unit cell a=3.5986 b=3.5987 c=5.7032 alpha=90.00 beta=90.00 gamma=90.00
Fractional positions:
Be: 0.5000 0.0000 0.8885
Be: 0.0000 0.5000 0.8885
Te: 0.0000 0.0000 0.5893
As: 0.5000 0.5000 0.1337